Record 1
Sm2BeCuSi2 | PBE | optimized geometry

```
Sm2BeCuSi2
1.0
4.012 0.000 0.000
-2.006 3.474 0.000
0.000 0.000 8.252
Sm Be Cu Si
2 1 1 2
Direct
0.000 0.000 0.250
0.000 0.000 0.750
0.333 0.667 0.000
0.667 0.333 0.500
0.333 0.667 0.500
0.667 0.333 0.000
```

Output
M_tot (μB per atom): 0.004
E_tot (eV per atom): -5.23

Record 2
HoErFe2Sn | PBE | optimized geometry

```
HoErFe2Sn
1.0
3.757 0.000 0.000
0.000 1.940 6.958
0.000 -1.940 6.958
Ho Er Fe Sn
1 1 2 1
Direct
0.000 0.000 0.000
0.000 0.270 0.270
0.500 0.431 0.431
0.500 0.838 0.838
0.500 0.635 0.635
```

Output
M_tot (μB per atom): 0.613
E_tot (eV per atom): -6.25

Record 3
PrLuHf | PBE | optimized geometry

```
PrLuHf
1.0
0.000 3.690 3.690
3.690 0.000 3.690
3.690 3.690 0.000
Pr Lu Hf
1 1 1
Direct
0.000 0.000 0.000
0.500 0.500 0.500
0.750 0.750 0.750
```

Output
Formation energy (eV/atom): 0.863
M_tot (μB per atom): 0.373
E_tot (eV per atom): -5.56

Record 4
CuHgIrPb | PBE | optimized geometry

```
CuHgIrPb
1.0
0.000 3.335 3.335
3.335 0.000 3.335
3.335 3.335 0.000
Cu Hg Ir Pb
1 1 1 1
Direct
0.000 0.000 0.000
0.250 0.250 0.250
0.500 0.500 0.500
0.750 0.750 0.750
```

Output
M_tot (μB per atom): 0.000
E_tot (eV per atom): -3.72

Record 5
Y2Cu2SnGe | PBE | optimized geometry

```
Y2Cu2SnGe
1.0
11.020 0.000 0.000
0.000 4.500 0.000
-3.675 0.000 10.395
Y Cu Sn Ge
8 8 4 4
Direct
0.000 0.000 0.000
0.117 0.500 0.373
0.241 0.000 0.747
0.375 0.500 0.122
0.506 0.000 0.494
0.632 0.500 0.879
0.754 0.000 0.252
0.877 0.500 0.619
0.122 0.500 0.623
0.246 0.000 0.995
0.376 0.500 0.373
0.499 0.000 0.747
0.630 0.500 0.130
0.754 0.000 0.496
0.882 0.500 0.875
0.997 0.000 0.248
0.250 0.000 0.249
0.376 0.500 0.623
0.501 0.000 0.998
0.752 0.000 0.748
0.123 0.500 0.873
0.627 0.500 0.372
0.875 0.500 0.125
0.998 0.000 0.497
```

Output
M_tot (μB per atom): 0.000
E_tot (eV per atom): -5.41

Record 6
Dy2Er3Lu2Te2Ir2 | PBE | optimized geometry

```
Dy2Er3Lu2Te2Ir2
1.0
-1.953 7.785 4.721
1.953 -7.785 4.721
1.953 7.785 -4.721
Dy Er Lu Te Ir
2 3 2 2 2
Direct
0.131 0.000 0.131
0.869 0.000 0.869
0.105 0.791 0.315
0.421 0.421 0.000
0.476 0.791 0.685
0.501 0.148 0.353
0.795 0.148 0.647
0.157 0.657 0.500
0.752 0.752 0.000
0.256 0.492 0.764
0.728 0.492 0.236
```

Output
M_tot (μB per atom): 0.001
E_tot (eV per atom): -6.01

Record 7
LiSiAgS3 | PBE | optimized geometry

```
LiSiAgS3
1.0
1.683 -6.551 0.000
1.683 6.551 0.000
0.000 0.000 9.628
Li Si Ag S
2 2 2 6
Direct
0.163 0.837 0.750
0.837 0.163 0.250
0.500 0.500 0.000
0.500 0.500 0.500
0.151 0.849 0.250
0.849 0.151 0.750
0.124 0.876 0.006
0.124 0.876 0.494
0.465 0.535 0.250
0.535 0.465 0.750
0.876 0.124 0.506
0.876 0.124 0.994
```

Output
E_tot (eV per atom): -4.18

Record 8
Ho3ReO7 | PBE | optimized geometry

```
Ho3ReO7
1.0
3.703 -5.200 0.000
3.703 5.200 0.000
0.000 0.000 7.348
Ho Re O
6 2 14
Direct
0.027 0.027 0.000
0.035 0.500 0.257
0.500 0.035 0.743
0.500 0.965 0.243
0.965 0.500 0.757
0.973 0.973 0.500
0.499 0.499 0.500
0.501 0.501 0.000
0.130 0.870 0.750
0.137 0.863 0.250
0.172 0.418 0.975
0.186 0.439 0.538
0.418 0.172 0.025
0.427 0.573 0.250
0.439 0.186 0.462
0.561 0.814 0.962
0.573 0.427 0.750
0.582 0.828 0.525
0.814 0.561 0.038
0.828 0.582 0.475
0.863 0.137 0.750
0.870 0.130 0.250
```

Output
M_tot (μB per atom): 0.182
E_tot (eV per atom): -8.46